A plane-wave DFT calculation with PBE-GGA was carried out for a geometry-optimized ZrTaNi3 structure.

Calculated values
* energy relative to the elements: 0.759 eV/atom
* excess energy over the best structure of this formula in the dataset: 0.0 meV/atom

a = 4.4920 Å, b = 4.4920 Å, c = 4.4920 Å
α = 90.00°, β = 90.00°, γ = 90.00°
With the nearest neighbours (Å) after each atom.
Space group Pm-3m (No. 221)
One atom of each set of equivalent atoms:
Zr 0.0000 0.0000 0.0000 [1 per cell]  12 Ni 3.18
Ta 0.5000 0.5000 0.5000 [1 per cell]  6 Ni 2.25
Ni 0.0000 0.5000 0.5000 [3 per cell]  2 Ta 2.25


A plane-wave DFT calculation with PBE-GGA was carried out for a geometry-optimized Tl2SiRuI structure.

Calculated values
* DFT total energy: -3.010 eV per atom

a = 5.3262 Å, b = 5.3262 Å, c = 5.4796 Å
α = 90.00°, β = 90.00°, γ = 90.00°
With the nearest neighbours (Å) after each atom.
Space group P4/mmm (No. 123)
One atom of each set of equivalent atoms:
Tl 0.0000 0.5000 0.0000 [2 per cell]  2 Si 2.66
Si 0.0000 0.0000 0.0000 [1 per cell]  4 Tl 2.66, 2 I 2.74
Ru 0.5000 0.5000 0.5000 [1 per cell]  4 I 3.77, 8 Tl 3.82
I 0.0000 0.0000 0.5000 [1 per cell]  2 Si 2.74


A plane-wave DFT calculation with PBE-GGA was carried out for a geometry-optimized Nd2CuCl structure.

Calculated values
* excess energy over the best structure of this formula in the dataset: 0.0 meV/atom

a = 4.1602 Å, b = 4.1602 Å, c = 20.5600 Å
α = 90.00°, β = 90.00°, γ = 120.00°
With the nearest neighbours (Å) after each atom.
Space group R-3m (No. 166, hexagonal axes)
One atom of each set of equivalent atoms:
Nd 0.0000 0.0000 0.2464 [6 per cell]  3 Cu 2.91, 3 Cl 2.99
Cu 0.0000 0.0000 0.5000 [3 per cell]  6 Nd 2.91
Cl 0.0000 0.0000 0.0000 [3 per cell]  6 Nd 2.99


A plane-wave DFT calculation with PBE-GGA was carried out for a geometry-optimized SrInAu5 structure.

Calculated values
* energy relative to the elements: -0.444 eV/atom
* excess energy over the best structure of this formula in the dataset: 0.0 meV/atom

a = 7.3486 Å, b = 7.3486 Å, c = 5.5494 Å
α = 90.00°, β = 90.00°, γ = 90.00°
With the nearest neighbours (Å) after each atom.
Space group I-4m2 (No. 119)
One atom of each set of equivalent atoms:
Sr 0.0000 0.0000 0.0000 [2 per cell]  12 Au 3.18-3.43
In 0.0000 0.5000 0.2500 [2 per cell]  10 Au 2.77-3.00
Au 0.0000 0.5000 0.7500 [2 per cell]  2 In 2.77, 8 Au 3.00
Au 0.1938 0.1938 0.5000 [8 per cell]  6 Au 2.85-3.01, 2 In 3.00, 1 Sr 3.18


A plane-wave DFT calculation with PBE-GGA was carried out for a geometry-optimized La2SmCu structure.

Calculated values
* energy relative to the elements: 0.220 eV/atom
* excess energy over the best structure of this formula in the dataset: 282.5 meV/atom

a = 3.5961 Å, b = 3.5961 Å, c = 33.3796 Å
α = 90.00°, β = 90.00°, γ = 120.00°
With the nearest neighbours (Å) after each atom.
Space group R-3m (No. 166, hexagonal axes)
One atom of each set of equivalent atoms:
La 0.0000 0.0000 0.1025 [6 per cell]  3 Cu 2.98
Sm 0.0000 0.0000 0.0000 [3 per cell]  2 La 3.42, 6 Sm 3.60
Cu 0.0000 0.0000 0.5000 [3 per cell]  6 La 2.98


A plane-wave DFT calculation with PBE-GGA was carried out for a geometry-optimized Pu2Te3 structure.

Calculated values
* DFT total energy: -8.556 eV per atom

a = 7.8291 Å, b = 7.8291 Å, c = 21.0707 Å
α = 90.00°, β = 90.00°, γ = 120.00°
With the nearest neighbours (Å) after each atom.
Space group R-3c (No. 167, hexagonal axes)
One atom of each set of equivalent atoms:
Pu 0.0000 0.0000 0.1540 [12 per cell]  6 Te 3.11-3.13
Te 0.0000 0.3050 0.2500 [18 per cell]  4 Pu 3.11-3.13


A plane-wave DFT calculation with PBE-GGA was carried out for a geometry-optimized BeRe2Hg structure.

Calculated values
* energy relative to the elements: 0.830 eV/atom
* excess energy over the best structure of this formula in the dataset: 582.9 meV/atom

a = 3.7327 Å, b = 3.7327 Å, c = 8.7868 Å
α = 90.00°, β = 90.00°, γ = 90.00°
With the nearest neighbours (Å) after each atom.
Space group I4/mmm (No. 139)
One atom of each set of equivalent atoms:
Be 0.0000 0.0000 0.0000 [2 per cell]  4 Hg 2.64, 8 Re 2.88
Re 0.0000 0.5000 0.2500 [4 per cell]  4 Re 2.64, 4 Hg 2.88, 4 Be 2.88
Hg 0.0000 0.0000 0.5000 [2 per cell]  4 Be 2.64, 8 Re 2.88


A plane-wave DFT calculation with PBE-GGA was carried out for a geometry-optimized BaLi12Ga6 structure.

Calculated values
* energy relative to the elements: -0.158 eV/atom

a = 11.5792 Å, b = 11.5792 Å, c = 9.4269 Å
α = 90.00°, β = 90.00°, γ = 120.00°
With the nearest neighbours (Å) after each atom.
Space group R-3m (No. 166, hexagonal axes)
One atom of each set of equivalent atoms:
Ba 0.0000 0.0000 0.0000 [3 per cell]  6 Li 3.44
Li 0.0000 0.3870 0.5000 [18 per cell]  3 Li 2.62-2.69, 4 Ga 2.71-2.89
Li 0.0989 0.1979 0.2982 [18 per cell]  4 Ga 2.60-2.91, 3 Li 2.69-2.80
Ga 0.0805 0.5402 0.2410 [18 per cell]  8 Li 2.60-2.91, 2 Ga 2.90


A plane-wave DFT calculation with PBE-GGA was carried out for a geometry-optimized MnTl2Hg structure.

Calculated values
* energy relative to the elements: 0.268 eV/atom
* excess energy over the best structure of this formula in the dataset: 4.6 meV/atom

a = 14.9671 Å, b = 3.1321 Å, c = 4.6670 Å
α = 90.00°, β = 108.08°, γ = 90.00°
With the nearest neighbours (Å) after each atom.
Space group C2/m (No. 12)
One atom of each set of equivalent atoms:
Mn 0.0000 0.0000 0.0000 [2 per cell]  4 Hg 2.81, 4 Tl 3.01, 2 Mn 3.13
Tl 0.1810 0.5000 0.1811 [4 per cell]  2 Mn 3.01, 2 Tl 3.13
Hg 0.0000 0.5000 0.5000 [2 per cell]  4 Mn 2.81, 2 Hg 3.13


A plane-wave DFT calculation with PBE-GGA was carried out for a geometry-optimized LaPd3Se3 structure.

Calculated values
* DFT total energy: -4.912 eV per atom

a = 6.9389 Å, b = 6.9389 Å, c = 6.9389 Å
α = 90.00°, β = 90.00°, γ = 90.00°
With the nearest neighbours (Å) after each atom.
Space group Pm-3n (No. 223)
One atom of each set of equivalent atoms:
La 0.0000 0.0000 0.0000 [2 per cell]  12 Se 3.88, 12 Pd 3.88
Pd 0.0000 0.2500 0.5000 [6 per cell]  4 Se 2.45
Se 0.0000 0.5000 0.2500 [6 per cell]  4 Pd 2.45


A plane-wave DFT calculation with PBE-GGA was carried out for a geometry-optimized AlTlHg structure.

Calculated values
* energy relative to the elements: 0.116 eV/atom

a = 5.5618 Å, b = 5.8565 Å, c = 5.8666 Å
α = 79.28°, β = 61.80°, γ = 61.73°
With the nearest neighbours (Å) after each atom.
Space group P1 (No. 1)
One atom of each set of equivalent atoms:
Al 0.0000 0.0000 0.0000 [1 per cell]  2 Al 2.78, 4 Hg 2.93-3.02
Al 0.4991 0.0011 0.0000 [1 per cell]  2 Al 2.78, 4 Hg 2.93-3.03
Tl 0.1551 0.4571 0.7323 [1 per cell]  4 Al 3.11-3.37, 3 Hg 3.29-3.37, 2 Tl 3.46
Tl 0.6550 0.7323 0.4571 [1 per cell]  4 Al 3.12-3.37, 3 Hg 3.28-3.37, 2 Tl 3.46
Hg 0.4532 0.4958 0.0991 [1 per cell]  4 Al 2.93-3.02
Hg 0.9526 0.0999 0.4952 [1 per cell]  4 Al 2.93-3.03, 1 Tl 3.28


A plane-wave DFT calculation with PBE-GGA was carried out for a geometry-optimized HfS4 structure.

Calculated values
* DFT total energy: -5.277 eV per atom

a = 4.9678 Å, b = 4.9678 Å, c = 4.9678 Å
α = 90.00°, β = 90.00°, γ = 90.00°
With the nearest neighbours (Å) after each atom.
Space group Pm-3m (No. 221)
One atom of each set of equivalent atoms:
Hf 0.0000 0.0000 0.0000 [1 per cell]  6 S 2.48
S 0.0000 0.0000 0.5000 [3 per cell]  2 Hf 2.48
S 0.5000 0.5000 0.5000 [1 per cell]  12 S 3.51


no.,magnetization (μB/f.u.)
1,0.00
2,2.55
3,0.00
4,0.00
5,0.01
6,10.00
7,0.00
8,0.00
9,3.83
10,0.00
11,0.00
12,3.16